Entry from Alexandria via LeMat-Bulk: BaCd2GaPd2 after structural relaxation (PBE).

## Properties
electronic total energy: -19.67 eV for the cell shown

```
6
Lattice="4.856 0.000 0.000 0.000 4.856 0.000 0.000 0.000 6.327" Properties=species:S:1:pos:R:3 pbc="T T T"
Pd 2.428 0.000 0.000
Pd 0.000 2.428 0.000
Ba 0.000 0.000 3.163
Cd 2.428 2.428 1.573
Cd 2.428 2.428 4.754
Ga 0.000 0.000 0.000
```